[1]
Crystalline ScSi2Ni6 at its relaxed geometry. Source: Alexandria, functional GGA-PBE.

VASP energy: -103.4 eV/cell
N(E_F): 0.638 states/eV per atom
Space group: No. 227
Density: 5.70 g/cm3

a b c (Å): 7.2021 7.2021 7.2021
angles (deg): 60.00 60.00 60.00
Sites, in units of the cell vectors:
1 Sc 0.1250 0.1250 0.1250
2 Sc 0.8750 0.8750 0.8750
3 Si 0.0000 0.5000 0.5000
4 Si 0.5000 0.0000 0.5000
5 Si 0.5000 0.5000 0.0000
6 Si 0.5000 0.5000 0.5000
7 Ni 0.1226 0.1226 0.6274
8 Ni 0.1226 0.6274 0.1226
9 Ni 0.1226 0.6274 0.6274
10 Ni 0.3726 0.3726 0.8774
11 Ni 0.3726 0.8774 0.3726
12 Ni 0.3726 0.8774 0.8774
13 Ni 0.6274 0.1226 0.1226
14 Ni 0.6274 0.1226 0.6274
15 Ni 0.6274 0.6274 0.1226
16 Ni 0.8774 0.3726 0.3726
17 Ni 0.8774 0.3726 0.8774
18 Ni 0.8774 0.8774 0.3726



[2]
Crystalline TaZn2Si at its relaxed geometry. Source: Alexandria, functional GGA-PBE.

VASP energy: -19.6 eV/cell
N(E_F): 0.313 states/eV per atom
Space group: No. 65
Density: 8.96 g/cm3

a b c (Å): 4.9841 4.9841 2.8474
angles (deg): 90.00 90.00 117.10
Sites, in units of the cell vectors:
1 Ta 0.0000 0.0000 0.0000
2 Zn 0.0000 0.5000 0.5000
3 Zn 0.5000 0.0000 0.5000
4 Si 0.5000 0.5000 0.0000



[3]
Crystalline BaTeIr2 at its relaxed geometry. Source: Alexandria, functional GGA-PBE.

VASP energy: -23.3 eV/cell
N(E_F): 0.739 states/eV per atom
Space group: No. 166
Density: 10.44 g/cm3

a b c (Å): 6.3198 6.3198 6.3198
angles (deg): 42.26 42.26 42.26
Sites, in units of the cell vectors:
1 Ba 0.0000 0.0000 0.0000
2 Te 0.5000 0.5000 0.5000
3 Ir 0.1952 0.1952 0.1952
4 Ir 0.8048 0.8048 0.8048



[4]
Crystalline LaZr2In at its relaxed geometry. Source: Alexandria, functional GGA-PBE.

VASP energy: -25.2 eV/cell
N(E_F): 1.195 states/eV per atom
Space group: No. 25
Density: 6.91 g/cm3

a b c (Å): 3.3572 4.2322 7.3803
angles (deg): 90.00 90.00 90.00
Sites, in units of the cell vectors:
1 La 0.0000 0.0000 0.0000
2 Zr 0.0000 0.0000 0.5037
3 Zr 0.5000 0.5000 0.2849
4 In 0.5000 0.5000 0.7165



- The lowest N(E_F) belongs to which entry?
  TaZn2Si